[1]
# AgAu2O4

A relaxed AgAu2O4 crystal (PBE-GGA, the Open Quantum Materials Database).

CIF file:
```
data_AgAu2O4
_chemical_formula_sum 'Ag4 Au8 O16'
_cell_length_a 5.898
_cell_length_b 5.898
_cell_length_c 10.653
_cell_angle_alpha 90.00
_cell_angle_beta 90.00
_cell_angle_gamma 90.00
_space_group_name_H-M_alt 'I 41/a'
_space_group_IT_number 88
loop_
_space_group_symop_operation_xyz
'x,y,z'
'-x,-y,-z'
'-y+3/4,x+1/4,z+1/4'
'y+3/4,-x+1/4,-z+1/4'
'-x+1/2,-y,z+1/2'
'x+1/2,y,-z+1/2'
'y+3/4,-x+3/4,z+3/4'
'-y+3/4,x+3/4,-z+3/4'
'x+1/2,y+1/2,z+1/2'
'-x+1/2,-y+1/2,-z+1/2'
'-y+1/4,x+3/4,z+3/4'
'y+1/4,-x+3/4,-z+3/4'
'-x,-y+1/2,z'
'x,y+1/2,-z'
'y+1/4,-x+1/4,z+1/4'
'-y+1/4,x+1/4,-z+1/4'
loop_
_atom_site_label
_atom_site_type_symbol
_atom_site_fract_x
_atom_site_fract_y
_atom_site_fract_z
_atom_site_occupancy
Ag1 Ag 0.000 0.250 0.125 1
Au1 Au 0.000 0.000 0.500 1
O1 O 0.186 0.044 0.341 1
```

=====

[2]
# AgAuO6

A relaxed AgAuO6 crystal (PBE-GGA, the Open Quantum Materials Database).

CIF file:
```
data_AgAuO6
_chemical_formula_sum 'Ag4 Au4 O24'
_cell_length_a 7.238
_cell_length_b 7.238
_cell_length_c 7.238
_cell_angle_alpha 90.00
_cell_angle_beta 90.00
_cell_angle_gamma 90.00
_space_group_name_H-M_alt 'F -4 3 m'
_space_group_IT_number 216
_space_group_name_Hall 'F -4 2 3'
loop_
_atom_site_label
_atom_site_type_symbol
_atom_site_fract_x
_atom_site_fract_y
_atom_site_fract_z
_atom_site_occupancy
Ag1 Ag 0.000 0.000 0.000 1
Au1 Au 0.250 0.250 0.250 1
O1 O 0.028 0.250 0.750 1
```

=====

[3]
# AgAu2O4

A relaxed AgAu2O4 crystal (PBE-GGA, the Open Quantum Materials Database).

CIF file:
```
data_AgAu2O4
_chemical_formula_sum 'Ag4 Au8 O16'
_cell_length_a 6.385
_cell_length_b 6.385
_cell_length_c 9.621
_cell_angle_alpha 90.00
_cell_angle_beta 90.00
_cell_angle_gamma 90.00
_space_group_name_H-M_alt 'I 41/a m d'
_space_group_IT_number 141
loop_
_space_group_symop_operation_xyz
'x,y,z'
'-x,-y,-z'
'-y+1/4,x+3/4,z+1/4'
'y+1/4,-x+3/4,-z+1/4'
'-x+1/2,-y,z+1/2'
'x+1/2,y,-z+1/2'
'y+1/4,-x+1/4,z+3/4'
'-y+1/4,x+1/4,-z+3/4'
'x,-y,-z'
'-x,y,z'
'-y+1/4,-x+1/4,-z+3/4'
'y+1/4,x+1/4,z+3/4'
'-x+1/2,y,-z+1/2'
'x+1/2,-y,z+1/2'
'y+1/4,x+3/4,-z+1/4'
'-y+1/4,-x+3/4,z+1/4'
'x+1/2,y+1/2,z+1/2'
'-x+1/2,-y+1/2,-z+1/2'
'-y+3/4,x+1/4,z+3/4'
'y+3/4,-x+1/4,-z+3/4'
'-x,-y+1/2,z'
'x,y+1/2,-z'
'y+3/4,-x+3/4,z+1/4'
'-y+3/4,x+3/4,-z+1/4'
'x+1/2,-y+1/2,-z+1/2'
'-x+1/2,y+1/2,z+1/2'
'-y+3/4,-x+3/4,-z+1/4'
'y+3/4,x+3/4,z+1/4'
'-x,y+1/2,-z'
'x,-y+1/2,z'
'y+3/4,x+1/4,-z+3/4'
'-y+3/4,-x+1/4,z+3/4'
loop_
_atom_site_label
_atom_site_type_symbol
_atom_site_fract_x
_atom_site_fract_y
_atom_site_fract_z
_atom_site_occupancy
Ag1 Ag 0.000 0.250 0.375 1
Au1 Au 0.000 0.000 0.000 1
O1 O 0.000 0.057 0.711 1
```

=====

[4]
# Rb2AgAuO4

A relaxed Rb2AgAuO4 crystal (PBE-GGA, the Open Quantum Materials Database).

CIF file:
```
data_Rb2AgAuO4
_chemical_formula_sum 'Rb4 Ag2 Au2 O8'
_cell_length_a 6.058
_cell_length_b 4.542
_cell_length_c 12.348
_cell_angle_alpha 90.00
_cell_angle_beta 90.00
_cell_angle_gamma 90.00
_space_group_name_H-M_alt 'A m m 2'
_space_group_IT_number 38
loop_
_space_group_symop_operation_xyz
'x,y,z'
'-x,-y,z'
'-x,y,z'
'x,-y,z'
'x,y+1/2,z+1/2'
'-x,-y+1/2,z+1/2'
'-x,y+1/2,z+1/2'
'x,-y+1/2,z+1/2'
loop_
_atom_site_label
_atom_site_type_symbol
_atom_site_fract_x
_atom_site_fract_y
_atom_site_fract_z
_atom_site_occupancy
Rb1 Rb 0.000 0.000 0.000 1
Rb2 Rb 0.500 0.000 0.404 1
Ag1 Ag 0.500 0.000 0.698 1
Au1 Au 0.000 0.000 0.705 1
O1 O 0.245 0.000 0.592 1
O2 O 0.257 0.000 0.811 1
```

=====

[5]
# AgAuSO

A relaxed AgAuSO crystal (PBE-GGA, the Open Quantum Materials Database).

CIF file:
```
data_AgAuSO
_chemical_formula_sum 'Ag2 Au2 S2 O2'
_cell_length_a 3.521
_cell_length_b 7.751
_cell_length_c 5.180
_cell_angle_alpha 90.00
_cell_angle_beta 90.00
_cell_angle_gamma 90.00
_space_group_name_H-M_alt 'P m c 21'
_space_group_IT_number 26
loop_
_space_group_symop_operation_xyz
'x,y,z'
'-x,-y,z+1/2'
'-x,y,z'
'x,-y,z+1/2'
loop_
_atom_site_label
_atom_site_type_symbol
_atom_site_fract_x
_atom_site_fract_y
_atom_site_fract_z
_atom_site_occupancy
Ag1 Ag 0.000 0.177 0.000 1
Au1 Au 0.500 0.362 0.491 1
S1 S 0.000 0.149 0.500 1
O1 O 0.500 0.371 0.987 1
```

=====

[6]
# AgAuSO

A relaxed AgAuSO crystal (PBE-GGA, the Open Quantum Materials Database).

CIF file:
```
data_AgAuSO
_chemical_formula_sum 'Ag2 Au2 S2 O2'
_cell_length_a 4.385
_cell_length_b 4.385
_cell_length_c 7.589
_cell_angle_alpha 90.00
_cell_angle_beta 90.00
_cell_angle_gamma 90.00
_space_group_name_H-M_alt 'P 4/n m m'
_space_group_IT_number 129
loop_
_space_group_symop_operation_xyz
'x,y,z'
'-x,-y,-z'
'-y+1/2,x,z'
'y+1/2,-x,-z'
'-x+1/2,-y+1/2,z'
'x+1/2,y+1/2,-z'
'y,-x+1/2,z'
'-y,x+1/2,-z'
'x+1/2,-y,-z'
'-x+1/2,y,z'
'-y,-x,-z'
'y,x,z'
'-x,y+1/2,-z'
'x,-y+1/2,z'
'y+1/2,x+1/2,-z'
'-y+1/2,-x+1/2,z'
loop_
_atom_site_label
_atom_site_type_symbol
_atom_site_fract_x
_atom_site_fract_y
_atom_site_fract_z
_atom_site_occupancy
Ag1 Ag 0.250 0.750 0.000 1
Au1 Au 0.250 0.250 0.463 1
S1 S 0.250 0.250 0.832 1
O1 O 0.250 0.750 0.500 1
```

=====

[7]
# AgAuSO

A relaxed AgAuSO crystal (PBE-GGA, the Open Quantum Materials Database).

CIF file:
```
data_AgAuSO
_chemical_formula_sum 'Ag4 Au4 S4 O4'
_cell_length_a 6.145
_cell_length_b 7.169
_cell_length_c 6.362
_cell_angle_alpha 90.00
_cell_angle_beta 90.00
_cell_angle_gamma 90.00
_space_group_name_H-M_alt 'P c a 21'
_space_group_IT_number 29
loop_
_space_group_symop_operation_xyz
'x,y,z'
'-x,-y,z+1/2'
'-x+1/2,y,z+1/2'
'x+1/2,-y,z'
loop_
_atom_site_label
_atom_site_type_symbol
_atom_site_fract_x
_atom_site_fract_y
_atom_site_fract_z
_atom_site_occupancy
Ag1 Ag 0.176 0.084 0.000 1
Au1 Au 0.186 0.636 0.031 1
S1 S 0.033 0.371 0.852 1
O1 O 0.169 0.865 0.676 1
```

=====

[8]
# AgAuSO

A relaxed AgAuSO crystal (PBE-GGA, the Open Quantum Materials Database).

CIF file:
```
data_AgAuSO
_chemical_formula_sum 'Ag4 Au4 S4 O4'
_cell_length_a 6.267
_cell_length_b 7.424
_cell_length_c 6.010
_cell_angle_alpha 90.00
_cell_angle_beta 100.66
_cell_angle_gamma 90.00
_space_group_name_H-M_alt 'P 1 21/c 1'
_space_group_IT_number 14
loop_
_space_group_symop_operation_xyz
'x,y,z'
'-x,-y,-z'
'-x,y+1/2,-z+1/2'
'x,-y+1/2,z+1/2'
loop_
_atom_site_label
_atom_site_type_symbol
_atom_site_fract_x
_atom_site_fract_y
_atom_site_fract_z
_atom_site_occupancy
Ag1 Ag 0.075 0.230 0.447 1
Au1 Au 0.438 0.622 0.264 1
S1 S 0.225 0.596 0.899 1
O1 O 0.384 0.146 0.900 1
```

=====

[9]
# AgAuSeO

A relaxed AgAuSeO crystal (PBE-GGA, the Open Quantum Materials Database).

CIF file:
```
data_AgAuSeO
_chemical_formula_sum 'Ag2 Au2 Se2 O2'
_cell_length_a 4.342
_cell_length_b 4.342
_cell_length_c 8.297
_cell_angle_alpha 90.00
_cell_angle_beta 90.00
_cell_angle_gamma 90.00
_space_group_name_H-M_alt 'P 4/n m m'
_space_group_IT_number 129
loop_
_space_group_symop_operation_xyz
'x,y,z'
'-x,-y,-z'
'-y+1/2,x,z'
'y+1/2,-x,-z'
'-x+1/2,-y+1/2,z'
'x+1/2,y+1/2,-z'
'y,-x+1/2,z'
'-y,x+1/2,-z'
'x+1/2,-y,-z'
'-x+1/2,y,z'
'-y,-x,-z'
'y,x,z'
'-x,y+1/2,-z'
'x,-y+1/2,z'
'y+1/2,x+1/2,-z'
'-y+1/2,-x+1/2,z'
loop_
_atom_site_label
_atom_site_type_symbol
_atom_site_fract_x
_atom_site_fract_y
_atom_site_fract_z
_atom_site_occupancy
Ag1 Ag 0.250 0.750 0.000 1
Au1 Au 0.250 0.250 0.455 1
Se1 Se 0.250 0.250 0.817 1
O1 O 0.250 0.750 0.500 1
```

=====

[10]
# AgAuSeO

A relaxed AgAuSeO crystal (PBE-GGA, the Open Quantum Materials Database).

CIF file:
```
data_AgAuSeO
_chemical_formula_sum 'Ag2 Au2 Se2 O2'
_cell_length_a 3.592
_cell_length_b 7.868
_cell_length_c 5.348
_cell_angle_alpha 90.00
_cell_angle_beta 90.00
_cell_angle_gamma 90.00
_space_group_name_H-M_alt 'P m c 21'
_space_group_IT_number 26
loop_
_space_group_symop_operation_xyz
'x,y,z'
'-x,-y,z+1/2'
'-x,y,z'
'x,-y,z+1/2'
loop_
_atom_site_label
_atom_site_type_symbol
_atom_site_fract_x
_atom_site_fract_y
_atom_site_fract_z
_atom_site_occupancy
Ag1 Ag 0.000 0.207 0.000 1
Au1 Au 0.500 0.356 0.458 1
Se1 Se 0.000 0.130 0.506 1
O1 O 0.500 0.384 0.927 1
```

=====

[11]
# AgAuSeO

A relaxed AgAuSeO crystal (PBE-GGA, the Open Quantum Materials Database).

CIF file:
```
data_AgAuSeO
_chemical_formula_sum 'Ag4 Au4 Se4 O4'
_cell_length_a 6.491
_cell_length_b 7.522
_cell_length_c 6.055
_cell_angle_alpha 90.00
_cell_angle_beta 100.06
_cell_angle_gamma 90.00
_space_group_name_H-M_alt 'P 1 21/c 1'
_space_group_IT_number 14
loop_
_space_group_symop_operation_xyz
'x,y,z'
'-x,-y,-z'
'-x,y+1/2,-z+1/2'
'x,-y+1/2,z+1/2'
loop_
_atom_site_label
_atom_site_type_symbol
_atom_site_fract_x
_atom_site_fract_y
_atom_site_fract_z
_atom_site_occupancy
Ag1 Ag 0.086 0.246 0.465 1
Au1 Au 0.439 0.622 0.266 1
Se1 Se 0.219 0.592 0.887 1
O1 O 0.387 0.146 0.900 1
```

=====

[12]
# Tb2AgAuO4, relaxed, DFT PBE-GGA
data_Tb2AgAuO4
_chemical_formula_sum 'Tb2 Ag1 Au1 O4'
_cell_length_a 3.5481
_cell_length_b 3.5481
_cell_length_c 12.3050
_cell_angle_alpha 90.00
_cell_angle_beta 90.00
_cell_angle_gamma 120.00
_space_group_name_H-M_alt 'P -6 m 2'
_space_group_IT_number 187
_space_group_name_Hall 'P -6 2'
loop_
_atom_site_label
_atom_site_type_symbol
_atom_site_fract_x
_atom_site_fract_y
_atom_site_fract_z
_atom_site_occupancy
Tb1 Tb 0.0000 0.0000 0.2477 1
Ag1 Ag 0.6667 0.3333 0.5000 1
Au1 Au 0.3333 0.6667 0.0000 1
O1 O 0.3333 0.6667 0.1655 1
O2 O 0.6667 0.3333 0.3322 1
# Magnetization: 0.0003 μB/atom

=====

no.,energy (eV/cell)
1,-118.768
2,-107.835
3,-113.921
4,-67.156
5,-28.739
6,-27.832
7,-58.859
8,-58.892
9,-27.053
10,-27.719
11,-56.975
12,-53.163